The following is a PBE calculation of a relaxed structure of CsInSn2Cl8, from the Alexandria database.

Cell: 6.5861 7.0114 9.5131 Å, 78.73 83.78 85.86°
With the nearest neighbours (Å) after each atom.
Space group P-1 (No. 2)
One atom of each set of equivalent atoms:
Cs1 0.0000 0.0000 0.0000  6 Cl 3.44-3.60
In1 0.0000 0.0000 0.5000  6 Cl 2.44-2.68
Sn1 0.4933 0.4397 0.2517  3 Cl 2.53-2.68
Cl1 0.1369 0.7404 0.7201  1 Sn 2.68, 1 In 2.68
Cl2 0.1697 0.8055 0.3304  1 In 2.44
Cl3 0.3198 0.2122 0.4795  1 Sn 2.63, 1 In 2.63
Cl4 0.4329 0.2463 0.0630  1 Sn 2.53

Output
**DOS at the Fermi energy**: 0.000 states/eV/f.u.
**Formation energy from raw total energies**: -14.17 eV/f.u.
**Final energy**: -3.378 eV/atom